Version 1
The following is a DFT calculation (PBE) of a relaxed structure of Hg2CS.

```
Hg2CS
1.0
-1.6303 1.6744 5.2834
3.6608 -3.8097 2.3369
4.7435 2.5226 3.8228
S C Hg
2 2 4
Cartesian
0.0000 0.0000 0.0000
2.0642 1.5647 6.4582
1.0152 -1.0677 3.8102
4.7097 -1.1774 4.9849
0.7295 1.0931 4.2099
3.1651 -1.4333 3.4168
5.0987 0.2688 9.3845
4.5547 0.8460 5.8751
```

## Properties
Crystal system: tetragonal
Fermi-level density of states: 2.82 states/eV/cell

Version 2
The following is a DFT calculation (PBE) of a relaxed structure of Hg2CS.

```
Hg2CS
1.0
-1.1378 -3.7716 -2.6353
-4.0787 -2.2873 0.7724
-3.5173 0.2933 -3.1633
Hg S C
2 1 1
Cartesian
-6.5504 -4.3241 -3.7696
-2.1835 -1.4414 -1.2565
-4.3669 -2.8828 -2.5131
0.0000 0.0000 0.0000
```

## Properties
Crystal system: cubic
Fermi-level density of states: 2.43 states/eV/cell

Relative energy of each structure, in kJ/mol of atoms: version 1 0.0; version 2 60.4.

Version 1
The following is a DFT calculation (PBE) of a relaxed structure of Hg2SbC2.

```
Hg2SbC2
1.0
6.8246 0.0000 0.0000
0.0000 6.8246 0.0000
0.0000 0.0000 4.1962
Hg Sb C
4 2 4
Cartesian
4.4489 5.7880 2.0981
1.0366 4.4489 2.0981
5.7880 2.3757 2.0981
2.3757 1.0366 2.0981
3.4123 3.4123 0.0000
0.0000 0.0000 0.0000
4.8315 5.4054 0.0000
1.9931 1.4192 0.0000
5.4054 1.9931 0.0000
1.4192 4.8315 0.0000
```

## Properties
Crystal system: tetragonal
Fermi-level density of states: 5.24 states/eV/cell

Version 2
The following is a DFT calculation (PBE) of a relaxed structure of Hg2SbC2.

```
Hg2SbC2
1.0
-1.7840 2.2210 -3.7421
-4.1096 0.4699 2.2381
-1.6255 5.1490 0.8755
C Sb Hg
2 1 2
Cartesian
-4.7708 5.9231 -0.1210
-2.7483 1.9168 -0.5076
0.0000 0.0000 0.0000
-3.1782 4.3577 -1.8094
-4.3410 3.4822 1.1808
```

## Properties
Crystal system: tetragonal
Fermi-level density of states: 3.69 states/eV/cell

Relative energy of each structure, in kJ/mol of atoms: version 1 28.4; version 2 0.0.

Version 1
The following is a DFT calculation (PBE) of a relaxed structure of HgSb2C.

```
HgSb2C
1.0
6.1072 0.0000 0.0000
0.0000 6.1072 0.0000
3.0536 3.0536 5.2740
Sb C Hg
4 2 2
Cartesian
1.9955 4.5804 1.3185
4.5804 5.0491 3.9555
4.1117 1.5268 1.3185
7.6340 7.1653 3.9555
3.0536 3.0536 0.0000
3.0536 6.1072 2.6370
6.1072 3.0536 2.6370
0.0000 0.0000 0.0000
```

## Properties
Crystal system: tetragonal
Fermi-level density of states: 0.01 states/eV/cell

Version 2
The following is a DFT calculation (PBE) of a relaxed structure of HgSb2C.

```
HgSb2C
1.0
-3.1876 1.4215 3.5086
-4.4766 1.6912 -1.2619
-4.0269 -2.7210 0.9342
Sb Hg C
2 1 1
Cartesian
-2.9228 0.0979 0.7952
-8.7683 0.2938 2.3857
-5.8455 0.1959 1.5904
0.0000 0.0000 0.0000
```

## Properties
Crystal system: cubic
Fermi-level density of states: 3.21 states/eV/cell

Relative energy of each structure, in kJ/mol of atoms: version 1 0.0; version 2 70.6.

Version 1
The following is a DFT calculation (PBE) of a relaxed structure of HgSbC2.

```
HgSbC2
1.0
-1.6910 0.4899 4.9152
1.1572 -5.0114 0.8976
4.3368 -0.9376 4.3583
Sb C Hg
2 4 2
Cartesian
2.6136 -4.1049 4.0812
-0.2669 -2.2607 2.9064
1.5552 -3.2934 2.3838
0.2129 -0.5665 4.1550
2.7576 -4.5383 8.3332
3.0805 -2.5199 5.4702
0.0000 0.0000 0.0000
1.1895 -1.3542 6.0900
```

## Properties
Crystal system: tetragonal
Fermi-level density of states: 4.17 states/eV/cell

Version 2
The following is a DFT calculation (PBE) of a relaxed structure of HgSbC2.

```
HgSbC2
1.0
1.0003 -3.9207 1.7513
-2.5215 -1.6953 3.1950
-2.5509 -3.4996 -0.8278
Sb C Hg
1 2 1
Cartesian
0.0000 0.0000 0.0000
-1.0180 -2.2789 1.0296
-3.0540 -6.8367 3.0888
-2.0360 -4.5578 2.0592
```

## Properties
Crystal system: cubic
Fermi-level density of states: 2.46 states/eV/cell

Relative energy of each structure, in kJ/mol of atoms: version 1 0.0; version 2 90.1.

Version 1
The following is a DFT calculation (PBE) of a relaxed structure of Sc3HgC.

```
Sc3HgC
1.0
3.2931 0.0000 0.0000
0.0000 4.3419 -3.8261
0.0000 4.3419 3.8261
Hg Sc C
1 3 1
Cartesian
1.6466 4.3419 -2.9363
1.6466 5.8329 -0.1995
1.6466 2.8509 -0.1995
0.0000 4.3419 2.2430
0.0000 4.3419 0.1124
```

## Properties
Crystal system: orthorhombic
Fermi-level density of states: 6.43 states/eV/cell

Version 2
The following is a DFT calculation (PBE) of a relaxed structure of Sc3HgC.

```
Sc3HgC
1.0
-4.0282 0.8217 1.9285
0.6336 -3.5050 2.8168
1.9982 2.7678 2.9946
Sc C Hg
3 1 1
Cartesian
0.9991 1.3839 1.4973
-2.0141 0.4108 0.9642
0.3168 -1.7525 1.4084
0.0000 0.0000 0.0000
-0.6983 0.0422 3.8699
```

## Properties
Crystal system: cubic
Fermi-level density of states: 8.94 states/eV/cell

Relative energy of each structure, in kJ/mol of atoms: version 1 41.4; version 2 0.0.

Version 1
The following is a DFT calculation (PBE) of a relaxed structure of ScHgC3.

```
ScHgC3
1.0
4.2513 0.0000 0.0000
0.0000 4.2513 0.0000
0.0000 0.0000 4.2513
C Sc Hg
3 1 1
Cartesian
0.0000 0.0000 2.1257
2.1257 0.0000 0.0000
0.0000 2.1257 0.0000
2.1257 2.1257 2.1257
0.0000 0.0000 0.0000
```

## Properties
Crystal system: cubic
Fermi-level density of states: 5.05 states/eV/cell

Version 2
The following is a DFT calculation (PBE) of a relaxed structure of ScHgC3.

```
ScHgC3
1.0
-0.2385 0.7328 -4.2695
-3.6536 -2.3314 -0.1961
-2.3274 3.5847 0.7453
Sc C Hg
1 3 1
Cartesian
0.0000 0.0000 0.0000
-1.1637 1.7924 0.3726
-1.8268 -1.1657 -0.0980
-0.1192 0.3664 -2.1348
-3.1098 0.9931 -1.8602
```

## Properties
Crystal system: cubic
Fermi-level density of states: 4.84 states/eV/cell

Relative energy of each structure, in kJ/mol of atoms: version 1 29.0; version 2 0.0.

Version 1
The following is a DFT calculation (PBE) of a relaxed structure of ScHg3C.

```
ScHg3C
1.0
-3.5279 3.1232 0.3596
-1.9785 -1.7855 -3.9022
-2.4432 -3.0639 2.6407
C Hg Sc
1 3 1
Cartesian
0.0000 0.0000 0.0000
-1.7640 1.5616 0.1798
-1.2216 -1.5319 1.3203
-0.9892 -0.8928 -1.9511
-3.9748 -0.8631 -0.4510
```

## Properties
Crystal system: cubic
Fermi-level density of states: 3.09 states/eV/cell

Version 2
The following is a DFT calculation (PBE) of a relaxed structure of ScHg3C.

```
ScHg3C
1.0
5.6967 0.0000 0.0000
0.0000 5.6967 0.0000
0.0000 0.0000 5.6967
Hg Sc C
3 1 1
Cartesian
0.0000 0.0000 2.8483
0.0000 2.8483 0.0000
2.8483 0.0000 0.0000
0.0000 0.0000 0.0000
2.8483 2.8483 2.8483
```

## Properties
Crystal system: cubic
Fermi-level density of states: 3.42 states/eV/cell

Relative energy of each structure, in kJ/mol of atoms: version 1 0.0; version 2 68.3.

Version 1
The following is a DFT calculation (PBE) of a relaxed structure of ScTi2HgC.

```
ScTi2HgC
1.0
-1.8254 -2.8728 -4.0931
2.4133 -2.9331 0.9824
-3.7794 -2.0607 3.1318
Sc Ti Hg C
1 2 1 1
Cartesian
-1.5958 -3.9333 0.0105
-0.9127 -1.4364 -2.0466
-1.8897 -1.0303 1.5659
0.0000 0.0000 0.0000
1.2066 -1.4666 0.4912
```

## Properties
Crystal system: tetragonal
Fermi-level density of states: 6.17 states/eV/cell

Version 2
The following is a DFT calculation (PBE) of a relaxed structure of ScTi2HgC.

```
ScTi2HgC
1.0
4.2571 0.0000 0.0000
0.0000 4.2571 0.0000
0.0000 0.0000 4.4741
Ti C Sc Hg
2 1 1 1
Cartesian
0.0000 2.1286 0.0000
2.1286 0.0000 0.0000
0.0000 0.0000 0.0000
0.0000 0.0000 2.2371
2.1286 2.1286 2.2371
```

## Properties
Crystal system: tetragonal
Fermi-level density of states: 2.62 states/eV/cell

Relative energy of each structure, in kJ/mol of atoms: version 1 207.1; version 2 0.0.